# PrDy2YTm

PrDy2YTm after structural relaxation (PBE, Alexandria via LeMat-Bulk).

POSCAR file:
```
PrDy2YTm
1.0
-5.6505 4.5064 0.0617
-4.5782 -5.6832 -4.1834
0.5395 0.5795 7.0795
Y Tm Dy Pr
2 2 4 2
Direct
0.7500 0.9994 0.9988
0.2500 0.0006 0.0012
0.2500 0.2799 0.5598
0.7500 0.7201 0.4402
0.5000 0.6891 0.0000
0.0000 0.3109 0.0000
0.0000 0.6891 0.0000
0.5000 0.3109 0.0000
0.2500 0.7280 0.4560
0.7500 0.2720 0.5440
```

The space group is Cmcm (63). The total DFT energy (no corrections) is -4.59 eV/atom. Its density of states at the Fermi level is 14.610 states/eV/cell. The magnetic moment is 0.00 μB/cell. The formation energy is 38 kJ/mol of atoms.